VASP calculation (PBE with a Hubbard U) on crystalline MnCoNO2 at its relaxed geometry.

Structure (extended XYZ):
```
5
Lattice="-2.716 2.221 -1.463 -2.655 -2.384 1.310 -0.149 1.915 3.185" Properties=species:S:1:pos:R:3 pbc="T T T"
Mn 0.000 0.000 0.000
Co -2.760 0.876 1.516
O -1.327 -1.192 0.655
O -1.358 1.110 -0.731
N -0.074 0.958 1.592
```

Output
Electronic total energy, eV/atom: -6.0598
DOS at the Fermi energy, states/eV/atom: 0.204
ρ, Mg/m³: 4.9